AlGaAg14 | GGA-PBE | relaxed

Values from the calculation:
Formation enthalpy at 0 K   0.36 kcal/mol of atoms
Magnetization   0.000 μB per cell
Space-group type   No. 38
Volume   17.67 A^3/atom

POSCAR file:
```
AlGaAg14
1.0
5.763 -0.151 0.000
-2.397 5.243 0.000
0.000 0.000 9.468
Ag Al Ga
14 1 1
Cartesian
3.516 3.154 7.025
0.413 1.561 0.000
4.731 0.531 7.121
1.842 0.621 7.025
-0.802 4.189 0.000
1.842 0.621 2.442
-0.726 2.307 4.734
0.656 3.225 7.099
0.656 3.225 2.369
0.959 4.856 4.734
4.731 0.531 2.347
3.279 1.491 0.000
2.091 4.100 0.000
3.516 3.154 2.442
2.150 2.237 4.734
-1.928 4.933 4.734
```